# K2Na8In PBE relaxed
# N(E_F) = 0.5536 states/eV per atom
# Volume = 947.0 Å³ per cell
# Formation enthalpy at 0 K = 42 meV per atom
# Uncorrected energy = -1.37 eV/atom
data_K2Na8In
_cell_length_a 16.087
_cell_length_b 8.863
_cell_length_c 7.162
_cell_angle_alpha 90.00
_cell_angle_beta 111.97
_cell_angle_gamma 90.00
_space_group_name_H-M_alt 'C 1 2/m 1'
_space_group_IT_number 12
loop_
_space_group_symop_operation_xyz
'x,y,z'
'-x,-y,-z'
'-x,y,-z'
'x,-y,z'
'x+1/2,y+1/2,z'
'-x+1/2,-y+1/2,-z'
'-x+1/2,y+1/2,-z'
'x+1/2,-y+1/2,z'
loop_
_atom_site_label
_atom_site_fract_x
_atom_site_fract_y
_atom_site_fract_z
K1 0.134 0.000 0.058
Na1 0.090 0.500 0.909
Na2 0.098 0.304 0.444
Na3 0.225 0.000 0.647
In1 0.000 0.000 0.500